# Ce2Be4ZnGe3, optimized geometry, DFT PBE-GGA
# DOS(E_F), states/eV/cell: 11.3
# Total energy, eV/cell: -45.524
# Crystal system: tetragonal
# Magnetic moment, μB per formula unit: 1.36
# Formation energy from the elements, eV/atom: -0.36
# Theoretical density, g/cm3: 6.31
data_Ce2Be4ZnGe3
_space_group_name_H-M_alt 'P -4 m 2'
_space_group_IT_number 115
_space_group_name_Hall 'P -4 -2'
_cell_length_a 4.0467
_cell_length_b 4.0467
_cell_length_c 9.6285
_cell_angle_alpha 90.00
_cell_angle_beta 90.00
_cell_angle_gamma 90.00
loop_
_atom_site_label
_atom_site_fract_x
_atom_site_fract_y
_atom_site_fract_z
_atom_site_occupancy
Ce1 0.0000 0.5000 0.2474 1
Be1 0.0000 0.0000 0.0000 1
Be2 0.0000 0.5000 0.6310 1
Be3 0.5000 0.5000 0.0000 1
Zn1 0.0000 0.0000 0.5000 1
Ge1 0.0000 0.5000 0.8697 1
Ge2 0.5000 0.5000 0.5000 1